Entry from the Alexandria database: a geometry-optimized FeIrIO2 structure (PBE with a Hubbard U).

a = 3.7413 Å, b = 3.7413 Å, c = 7.0978 Å
α = 90.00°, β = 90.00°, γ = 90.00°
Space group P4/mmm (No. 123)
Unique sites:
Fe (0.0000, 0.0000, 0.0000) (multiplicity 1)
Ir (0.5000, 0.5000, 0.5000) (multiplicity 1)
I (0.0000, 0.0000, 0.5000) (multiplicity 1)
O (0.0000, 0.5000, 0.0000) (multiplicity 2)

Values from the calculation:
- Fermi-level density of states: 5.47 states/eV/cell
- Size of the total moment: 5.4 μB/f.u.
- ΔE to the lowest computed polymorph: 1.223 eV/f.u.